7
Lattice="-2.952 4.376 6.048 2.952 -4.376 6.048 2.952 4.376 -6.048" Properties=species:S:1:pos:R:3 comment="Pm5SmY GGA-PBE relaxed" dos_at_fermi_per_ev_fu=13.01 polymorph_energy_kj_per_mol_atoms=79.91 delta_e_f_kj_per_mol_fu=673 pbc="T T T"
Pm 0.000 0.000 0.000
Pm 2.952 0.000 2.994
Pm 2.952 2.825 0.000
Pm 0.000 1.551 6.048
Pm 0.000 4.376 3.054
Sm 2.952 0.000 0.000
Y 0.000 4.376 0.000